The following is a DFT calculation (meta-GGA SCAN) of RhW at its PBEsol-relaxed geometry.

Structure (POSCAR):
```
RhW
1.0
2.724 0.000 0.000
0.000 2.724 0.000
0.000 0.000 3.888
Rh W
1 1
direct
0.000 0.000 0.000
0.500 0.500 0.500
```

* energy of formation: -181 meV per atom
* D(E_F): 0.51 states/eV per atom
* V: 28.84 Å³ per cell

=====

The following is a DFT calculation (meta-GGA SCAN) of RhW3 at its PBEsol-relaxed geometry.

Structure (POSCAR):
```
RhW3
1.0
2.682 0.000 0.000
0.000 4.591 0.000
0.000 0.000 4.946
W Rh
3 1
direct
0.000 0.500 0.326
0.500 0.000 0.513
0.500 0.500 0.830
0.000 0.000 0.998
```

* energy of formation: 222 meV per atom
* D(E_F): 0.74 states/eV per atom
* V: 60.90 Å³ per cell

=====

The following is a DFT calculation (meta-GGA SCAN) of Rh5W at its PBEsol-relaxed geometry.

Structure (POSCAR):
```
Rh5W
1.0
-2.065 0.439 1.709
4.142 -0.542 2.985
0.035 6.171 -1.541
W Rh
1 5
direct
0.722 0.444 0.946
0.331 0.663 0.669
0.002 0.004 0.000
0.058 0.115 0.614
0.668 0.336 0.334
0.386 0.772 0.271
```

* energy of formation: -127 meV per atom
* D(E_F): 0.97 states/eV per atom
* V: 82.88 Å³ per cell
* E above lowest polymorph: 58 meV/atom

=====

The following is a DFT calculation (meta-GGA SCAN) of RhW3 at its PBEsol-relaxed geometry.

Structure (POSCAR):
```
RhW3
1.0
4.680 0.000 0.000
0.000 4.680 0.000
0.000 0.000 4.680
W Rh
3 1
direct
0.000 0.000 0.500
0.000 0.500 0.000
0.500 0.000 0.000
0.000 0.000 0.000
```

* energy of formation: 3220 meV per atom
* D(E_F): 1.13 states/eV per atom
* V: 102.48 Å³ per cell

=====

The following is a DFT calculation (meta-GGA SCAN) of YRh2W at its PBEsol-relaxed geometry.

Structure (POSCAR):
```
YRh2W
1.0
-0.110 1.667 2.438
-2.537 -1.302 0.776
3.898 -5.320 3.812
Rh W Y
2 1 1
direct
0.000 0.000 0.782
0.000 0.000 0.218
0.500 0.500 0.000
0.500 0.500 0.500
```

* energy of formation: -318 meV per atom
* D(E_F): 0.52 states/eV per atom
* V: 66.52 Å³ per cell
* E above lowest polymorph: 0 meV/atom

=====

The following is a DFT calculation (meta-GGA SCAN) of YRh2W at its PBEsol-relaxed geometry.

Structure (POSCAR):
```
YRh2W
1.0
-1.076 1.568 -2.680
-1.341 -2.793 -1.096
-5.430 1.425 3.013
Rh W Y
2 1 1
direct
0.000 0.000 0.020
0.500 0.500 0.270
0.000 0.000 0.439
0.500 0.500 0.772
```

* energy of formation: -34 meV per atom
* D(E_F): 0.93 states/eV per atom
* V: 68.81 Å³ per cell
* E above lowest polymorph: 284 meV/atom